Ti3NO2: optimized geometry, PBE-GGA.

Structure (CIF):
```
data_Ti3NO2
_cell_length_a 5.342
_cell_length_b 5.026
_cell_length_c 5.026
_cell_angle_alpha 119.99
_cell_angle_beta 90.00
_cell_angle_gamma 90.00
_symmetry_space_group_name_H-M 'P 1'
_symmetry_Int_Tables_number 1
_symmetry_space_group_name_Hall 'P 1'
loop_
_atom_site_label
_atom_site_type_symbol
_atom_site_fract_x
_atom_site_fract_y
_atom_site_fract_z
Ti1 Ti 0.206 0.176 0.176
Ti2 Ti 0.706 0.824 0.824
Ti3 Ti 0.706 0.176 0.500
Ti4 Ti 0.706 0.500 0.176
Ti5 Ti 0.206 0.500 0.824
Ti6 Ti 0.206 0.824 0.500
N1 N 0.956 0.500 0.500
N2 N 0.456 0.500 0.500
O1 O 0.455 0.167 0.833
O2 O 0.955 0.833 0.167
O3 O 0.455 0.833 0.167
O4 O 0.955 0.167 0.833
```

Total DFT energy (no corrections) (eV/cell): -110.16
Magnetic moment (μB per cell): 0.0
Calculated density (g cm⁻³): 5.39